This record from the Alexandria database describes crystalline Ac2HoHgO6 at its relaxed geometry. The functional is PBE.

The space group is P2_1/c (No. 14) and the conventional cell measures 5.881, 6.035 and 10.991 Å, with angles of 90.00, 120.14 and 90.00 degrees. The asymmetric unit holds Ac at (0.222, 0.050, 0.242), Ho at (0.500, 0.000, 0.000), Hg at (0.000, 0.000, 0.500), O at (0.144, 0.215, 0.939), O at (0.201, 0.718, 0.913) and O at (0.412, 0.071, 0.782).

As for the formation energy (no corrections): -2.555 eV/atom. The calculation puts the calculated density at 9012 kg/m3.